No. 1
{"formula": "RbLiW3", "functional": "PBE", "state": "relaxed", "lattice_angstrom": [[4.578, 0.000, 0.000], [0.000, 4.578, 0.000], [0.000, 0.000, 4.578]], "species": ["Rb", "Li", "W", "W", "W"], "fractional_positions": [[0.000, 0.000, 0.000], [0.500, 0.500, 0.500], [0.000, 0.500, 0.500], [0.500, 0.000, 0.500], [0.500, 0.500, 0.000]], "total_energy_ev_per_atom": -5.6859, "sg": "No. 221", "magmom_total_mub_per_fu": 1.14, "de_polymorph_ev_per_fu": 0.00, "formation_energy_ev_per_atom": 2.662}


No. 2
{"formula": "InGa5", "functional": "PBE", "state": "relaxed", "lattice_angstrom": [[2.432, -6.143, 0.000], [2.432, 6.143, 0.000], [0.000, 0.000, 4.079]], "species": ["In", "Ga", "Ga", "Ga", "Ga", "Ga"], "fractional_positions": [[0.000, 0.000, 0.000], [0.179, 0.821, 0.500], [0.333, 0.667, 0.000], [0.500, 0.500, 0.500], [0.667, 0.333, 0.000], [0.821, 0.179, 0.500]], "total_energy_ev_per_atom": -2.9530, "sg": "No. 65", "magmom_total_mub_per_fu": 0.00, "de_polymorph_ev_per_fu": 0.00, "formation_energy_ev_per_atom": 0.026}